A plane-wave DFT calculation with GGA-PBE was carried out for a geometry-optimized KSiTeO5 structure.

Lattice parameters (Å, degrees): 5.8296 5.8296 7.6018 105.88 105.88 104.79
Fractional positions:
Si 0.3101 0.6899 0.7500
Si 0.6899 0.3101 0.2500
Te 0.0000 0.0000 0.5000
Te 0.0000 0.0000 0.0000
O 0.8793 0.2974 0.1209
O 0.7711 0.6097 0.3996
O 0.9381 0.0619 0.7500
O 0.6097 0.7711 0.8996
O 0.3903 0.2289 0.1004
O 0.2974 0.8793 0.6209
O 0.0619 0.9381 0.2500
O 0.2289 0.3903 0.6004
O 0.1207 0.7026 0.8791
O 0.7026 0.1207 0.3791
K 0.6642 0.3358 0.7500
K 0.3358 0.6642 0.2500

Output
Its formation energy from raw total energies is -1.761 eV per atom. The magnetization comes out at 0.0 μB/f.u.